VASP calculation (GGA+U) on crystalline SrFeAg2F8 at its relaxed geometry.

Values from the calculation:
calculated total energy: -4.568 eV/atom

Structure (CIF):
```
data_SrFeAg2F8
_chemical_formula_sum 'Sr1 Fe1 Ag2 F8'
_space_group_name_H-M_alt 'P 1 2/m 1'
_space_group_IT_number 10
_cell_length_a 4.8359
_cell_length_b 7.1138
_cell_length_c 5.4795
_cell_angle_alpha 90.00
_cell_angle_beta 94.84
_cell_angle_gamma 90.00
loop_
_space_group_symop_operation_xyz
'x,y,z'
'-x,-y,-z'
'-x,y,-z'
'x,-y,z'
loop_
_atom_site_label
_atom_site_type_symbol
_atom_site_fract_x
_atom_site_fract_y
_atom_site_fract_z
Sr1 Sr 0.0000 0.0000 0.0000
Fe1 Fe 0.0000 0.5000 0.0000
Ag1 Ag 0.5000 0.2602 0.5000
F1 F 0.1361 0.2947 0.8038
F2 F 0.3371 0.5000 0.2409
F3 F 0.4225 0.0000 0.2681
```